Entry from Alexandria via LeMat-Bulk: crystalline Rb2PdI6Br at its relaxed geometry (PBE-GGA).

## Properties
formation energy from raw total energies: -0.65 eV per atom
crystal system: tetragonal

Cell: 8.2087 8.2087 12.4891 Å, 90.00 90.00 90.00°
Space group I4/mmm (No. 139)
Symmetry-distinct sites (fractional):
Rb  0.0000  0.5000  0.2500 (multiplicity 4)
Pd  0.0000  0.0000  0.0000 (multiplicity 2)
I  0.0000  0.0000  0.2155 (multiplicity 4)
I  0.2380  0.2380  0.0000 (multiplicity 8)
Br  0.0000  0.0000  0.5000 (multiplicity 2)

Entry from Alexandria via LeMat-Bulk: crystalline SnAuI2O at its relaxed geometry (PBE-GGA).

## Properties
formation energy from raw total energies: -0.05 eV per atom
crystal system: tetragonal
E above lowest polymorph: 0 meV per atom

Cell: 5.9958 5.9958 3.9983 Å, 90.00 90.00 90.00°
Space group P4/mmm (No. 123)
Symmetry-distinct sites (fractional):
Sn  0.0000  0.0000  0.0000 (multiplicity 1)
Au  0.5000  0.5000  0.5000 (multiplicity 1)
I  0.0000  0.5000  0.0000 (multiplicity 2)
O  0.0000  0.0000  0.5000 (multiplicity 1)

Entry from Alexandria via LeMat-Bulk: crystalline SmGdCuPd at its relaxed geometry (PBE-GGA).

## Properties
crystal system: cubic
DFT formation energy: -194 kJ/mol of formula units

Cell: 7.1035 7.1035 7.1035 Å, 90.00 90.00 90.00°
Space group F-43m (No. 216)
Symmetry-distinct sites (fractional):
Sm  0.0000  0.0000  0.0000 (multiplicity 4)
Gd  0.0000  0.0000  0.5000 (multiplicity 4)
Cu  0.2500  0.2500  0.7500 (multiplicity 4)
Pd  0.2500  0.2500  0.2500 (multiplicity 4)

Entry from Alexandria via LeMat-Bulk: crystalline Ac2LaRe2N6 at its relaxed geometry (PBE-GGA).

## Properties
formation energy from raw total energies: -0.77 eV per atom
crystal system: trigonal

Cell: 5.9827 5.9827 18.9371 Å, 90.00 90.00 120.00°
Space group R-3m (No. 166, hexagonal axes)
Symmetry-distinct sites (fractional):
Ac  0.0000  0.0000  0.2122 (multiplicity 6)
La  0.0000  0.0000  0.0000 (multiplicity 3)
Re  0.0000  0.0000  0.4062 (multiplicity 6)
N  0.0042  0.5021  0.7642 (multiplicity 18)

Entry from Alexandria via LeMat-Bulk: crystalline La3Se3O at its relaxed geometry (PBE-GGA).

## Properties
formation energy from raw total energies: -2.38 eV per atom
crystal system: orthorhombic
E above lowest polymorph: 0 meV per atom

Cell: 12.3548 4.2328 13.6331 Å, 90.00 90.00 90.00°
Space group Pnma (No. 62)
Symmetry-distinct sites (fractional):
La  0.0261  0.2500  0.1591 (multiplicity 4)
La  0.1018  0.2500  0.6133 (multiplicity 4)
La  0.2378  0.2500  0.8721 (multiplicity 4)
Se  0.0724  0.2500  0.3888 (multiplicity 4)
Se  0.1451  0.7500  0.0113 (multiplicity 4)
Se  0.2307  0.7500  0.7128 (multiplicity 4)
O  0.0547  0.2500  0.8031 (multiplicity 4)

Number 1: calculated total energy -2.458 eV per atom. Number 2: calculated total energy -3.116 eV per atom. Number 3: calculated total energy -7.525 eV per atom. Number 4: calculated total energy -8.768 eV per atom. Number 5: calculated total energy -6.698 eV per atom.